Computed, not measured: KHfAl2 after structural relaxation at the PBE level of DFT.

POSCAR file:
```
KHfAl2
1.0
-4.560 1.592 2.086
-2.182 0.022 -4.787
-6.088 -8.540 -0.155
K Hf Al
2 2 4
Direct
0.500 0.500 0.000 K
0.250 0.750 0.500 K
0.000 0.000 0.000 Hf
0.750 0.250 0.500 Hf
0.815 0.125 0.250 Al
0.935 0.625 0.250 Al
0.375 0.185 0.750 Al
0.875 0.065 0.750 Al
```

Summary:
The total energy comes out at -3.7932 eV/atom. For the magnetic moment, the calculation gives 1.24 Bohr magnetons per cell. Its density is 3.323 Mg/m³. The calculation puts the formation energy at 3.36 eV per formula unit. Its space group is No. 122.